(1)
# GGA-PBE Ac6LaY4, optimized geometry
data_Ac6LaY4
_chemical_formula_sum 'Ac12 La2 Y8'
_cell_length_a 7.505
_cell_length_b 7.505
_cell_length_c 16.146
_cell_angle_alpha 90.00
_cell_angle_beta 90.00
_cell_angle_gamma 90.00
_symmetry_space_group_name_H-M 'I -4 2 m'
_symmetry_Int_Tables_number 121
_symmetry_space_group_name_Hall 'I -4 2'
loop_
_atom_site_label
_atom_site_fract_x
_atom_site_fract_y
_atom_site_fract_z
_atom_site_occupancy
Ac1 0.000 0.500 0.000 1
Ac2 0.200 0.200 0.316 1
La1 0.000 0.000 0.500 1
Y1 0.155 0.155 0.096 1
# E_tot	-4.7187	eV per atom
# DFT formation energy	321	meV/atom

=====

(2)
# GGA-PBE HfAl2CdI, optimized geometry
data_HfAl2CdI
_chemical_formula_sum 'Hf1 Al2 Cd1 I1'
_cell_length_a 5.288
_cell_length_b 5.288
_cell_length_c 5.477
_cell_angle_alpha 90.00
_cell_angle_beta 90.00
_cell_angle_gamma 90.00
_symmetry_space_group_name_H-M 'P 4/m m m'
_symmetry_Int_Tables_number 123
_symmetry_space_group_name_Hall '-P 4 2'
loop_
_atom_site_label
_atom_site_fract_x
_atom_site_fract_y
_atom_site_fract_z
_atom_site_occupancy
Hf1 0.000 0.000 0.000 1
Al1 0.000 0.500 0.500 1
Cd1 0.500 0.500 0.000 1
I1 0.500 0.500 0.500 1
# E_tot	-2.5722	eV per atom